Here is a geometry-optimized LiMnClF2 structure from Alexandria via LeMat-Bulk. Energies are from PBE with a Hubbard U.

abc: 3.709 7.182 7.620
angles: 127.25 90.00 90.00
Positions (direct):
Li 0.250 0.381 0.547
Li 0.750 0.619 0.453
Mn 0.250 0.316 0.028
Mn 0.750 0.684 0.972
Cl 0.250 0.974 0.194
Cl 0.750 0.026 0.806
F 0.750 0.506 0.632
F 0.250 0.494 0.368
F 0.750 0.549 0.155
F 0.250 0.451 0.845

Computed properties:
Crystal system = monoclinic
Theoretical density = 2.781 g cm⁻³
Calculated total energy = -53.4 eV for the cell shown